Entry 1:
Density functional theory data (PBE) for TmPS4I after structural relaxation.

Summary:
* VASP energy: -66.47 eV for the cell shown

abc: 7.7307 7.7307 9.0303
angles: 101.61 101.61 60.21
Atoms (fractional coordinates):
Tm 0.1624 0.1624 0.0069
Tm 0.8376 0.8376 0.9931
P 0.3485 0.3485 0.7613
P 0.6515 0.6515 0.2387
S 0.0698 0.4651 0.8471
S 0.3564 0.3564 0.5518
S 0.4651 0.0698 0.8471
S 0.4963 0.4963 0.1156
S 0.5037 0.5037 0.8844
S 0.5349 0.9302 0.1529
S 0.6436 0.6436 0.4482
S 0.9302 0.5349 0.1529
I 0.0252 0.0252 0.2357
I 0.9748 0.9748 0.7643



Entry 2:
Density functional theory data (PBE) for Rb4Pa3TcN8 after structural relaxation.

Summary:
* VASP energy: -121.16 eV for the cell shown

abc: 7.8327 7.8327 7.8327
angles: 53.09 53.09 53.09
Atoms (fractional coordinates):
Rb 0.0000 0.0000 0.0000
Rb 0.0000 0.5000 0.5000
Rb 0.5000 0.0000 0.5000
Rb 0.5000 0.5000 0.0000
Pa 0.0000 0.0000 0.5000
Pa 0.0000 0.5000 0.0000
Pa 0.5000 0.0000 0.0000
Tc 0.5000 0.5000 0.5000
N 0.2191 0.2191 0.2191
N 0.2320 0.7115 0.7115
N 0.2885 0.2885 0.7680
N 0.2885 0.7680 0.2885
N 0.7115 0.2320 0.7115
N 0.7115 0.7115 0.2320
N 0.7680 0.2885 0.2885
N 0.7809 0.7809 0.7809



Entry 3:
Density functional theory data (PBE) for K2MnHgCl6 after structural relaxation.

Summary:
* VASP energy: -35.59 eV for the cell shown

abc: 7.0529 7.2023 7.3471
angles: 118.54 91.75 118.02
Atoms (fractional coordinates):
K 0.2491 0.4931 0.2274
K 0.7509 0.5069 0.7726
Mn 0.5000 0.0000 0.0000
Hg 0.0000 0.0000 0.5000
Cl 0.2118 0.0083 0.1814
Cl 0.2787 0.9412 0.6626
Cl 0.2882 0.5297 0.8071
Cl 0.7118 0.4703 0.1929
Cl 0.7213 0.0588 0.3374
Cl 0.7882 0.9917 0.8186



Entry 4:
Density functional theory data (PBE) for Ce2NiAg after structural relaxation.

Summary:
* excess energy over the best structure of this formula in the dataset: 0.000 eV/atom
* E_form: -175 meV/atom

abc: 3.6065 3.6065 6.8562
angles: 90.00 90.00 90.00
Atoms (fractional coordinates):
Ce 0.0000 0.0000 0.2060
Ce 0.0000 0.0000 0.7940
Ni 0.5000 0.5000 0.0000
Ag 0.5000 0.5000 0.5000



Entry 5:
Density functional theory data (PBE) for Pu4SbSeS2 after structural relaxation.

Summary:
* VASP energy: -84.30 eV for the cell shown

abc: 7.1690 4.1457 7.1729
angles: 90.00 109.56 90.00
Atoms (fractional coordinates):
Pu 0.2332 0.0000 0.2235
Pu 0.2495 0.5000 0.7707
Pu 0.7505 0.5000 0.2293
Pu 0.7668 0.0000 0.7765
Sb 0.5000 0.5000 0.5000
Se 0.0000 0.0000 0.5000
S 0.0000 0.5000 0.0000
S 0.5000 0.0000 0.0000



Entry 6:
Density functional theory data (PBE) for Pm2DyTm after structural relaxation.

Summary:
* excess energy over the best structure of this formula in the dataset: 0.003 eV/atom
* E_form: 18 meV/atom

abc: 11.7790 11.7790 11.7790
angles: 17.59 17.59 17.59
Atoms (fractional coordinates):
Pm 0.0000 0.0000 0.0000
Pm 0.1672 0.1672 0.1672
Dy 0.4168 0.4168 0.4168
Tm 0.5840 0.5840 0.5840



Entry 7:
Density functional theory data (PBE) for Cd4GaAu7 after structural relaxation.

Summary:
* E_form: -112 meV/atom

abc: 5.8110 5.8110 10.5434
angles: 114.84 114.84 51.17
Atoms (fractional coordinates):
Cd 0.0994 0.0994 0.2699
Cd 0.2627 0.2627 0.8282
Cd 0.7373 0.7373 0.1718
Cd 0.9006 0.9006 0.7301
Ga 0.5000 0.5000 0.5000
Au 0.0000 0.0000 0.5000
Au 0.1388 0.1388 0.0163
Au 0.2954 0.2954 0.5770
Au 0.4363 0.4363 0.1659
Au 0.5637 0.5637 0.8341
Au 0.7046 0.7046 0.4230
Au 0.8612 0.8612 0.9837



Entry 8:
Density functional theory data (PBE) for Ag2GePb after structural relaxation.

Summary:
* excess energy over the best structure of this formula in the dataset: 0.103 eV/atom
* E_form: 266 meV/atom

abc: 10.3643 10.3643 10.3643
angles: 17.73 17.73 17.73
Atoms (fractional coordinates):
Ag 0.0968 0.0968 0.0968
Ag 0.9032 0.9032 0.9032
Ge 0.5000 0.5000 0.5000
Pb 0.0000 0.0000 0.0000



Entry 9:
Density functional theory data (PBE) for Gd2NiHg after structural relaxation.

Summary:
* excess energy over the best structure of this formula in the dataset: 0.306 eV/atom
* E_form: -106 meV/atom

abc: 9.5738 9.5738 9.5738
angles: 23.93 23.93 23.93
Atoms (fractional coordinates):
Gd 0.1151 0.1151 0.1151
Gd 0.8849 0.8849 0.8849
Ni 0.5000 0.5000 0.5000
Hg 0.0000 0.0000 0.0000



Entry 10:
Density functional theory data (PBE) for CaNbCu2 after structural relaxation.

Summary:
* excess energy over the best structure of this formula in the dataset: 0.292 eV/atom
* E_form: 650 meV/atom

abc: 6.0166 6.0166 6.0166
angles: 107.19 107.19 114.14
Atoms (fractional coordinates):
Ca 0.0000 0.0000 0.0000
Ca 0.7500 0.2500 0.5000
Nb 0.2500 0.7500 0.5000
Nb 0.5000 0.5000 0.0000
Cu 0.1624 0.6250 0.0374
Cu 0.3750 0.4124 0.5374
Cu 0.5876 0.1250 0.9626
Cu 0.8750 0.8376 0.4626



Entry 11:
Density functional theory data (PBE) for La4BiPBr2 after structural relaxation.

Summary:
* VASP energy: -43.40 eV for the cell shown

abc: 7.6702 4.4035 7.8792
angles: 90.00 109.41 90.00
Atoms (fractional coordinates):
La 0.2181 0.0000 0.2110
La 0.2350 0.5000 0.7820
La 0.7650 0.5000 0.2180
La 0.7819 0.0000 0.7890
Bi 0.0000 0.0000 0.5000
P 0.0000 0.5000 0.0000
Br 0.5000 0.0000 0.0000
Br 0.5000 0.5000 0.5000



Entry 12:
Density functional theory data (PBE) for SnSO4 after structural relaxation.

Summary:
* excess energy over the best structure of this formula in the dataset: 0.217 eV/atom

abc: 6.0123 6.0321 7.4643
angles: 90.00 90.00 90.00
Atoms (fractional coordinates):
Sn 0.0000 0.0000 0.0000
Sn 0.5000 0.0000 0.5000
S 0.0000 0.0000 0.5000
S 0.0000 0.5000 0.0000
O 0.1455 0.3520 0.1115
O 0.1455 0.6480 0.8885
O 0.1499 0.1374 0.6165
O 0.1499 0.8626 0.3835
O 0.8501 0.1374 0.3835
O 0.8501 0.8626 0.6165
O 0.8545 0.3520 0.8885
O 0.8545 0.6480 0.1115